[1]
TmScCdGe: relaxed, PBE-GGA.

```
4
Lattice="-3.540 3.462 0.448 -2.421 1.615 -4.030 -4.770 -1.219 -0.689" Properties=species:S:1:pos:R:3 pbc="T T T"
Sc -8.048 2.894 -3.203
Ge 0.000 0.000 0.000
Tm -2.683 0.965 -1.068
Cd -5.365 1.929 -2.136
```

Output
volume: 86.9 Å³/cell
calculated formation energy: -1.719 eV/f.u.
DOS(E_F): 0.712 states/eV per atom

***

[2]
Sr2Al2Si: relaxed, PBE-GGA.

```
10
Lattice="7.172 0.000 0.000 0.000 7.172 0.000 0.000 0.000 5.148" Properties=species:S:1:pos:R:3 pbc="T T T"
Sr 1.272 4.858 2.574
Sr 4.858 5.900 2.574
Sr 5.900 2.314 2.574
Sr 2.314 1.272 2.574
Si 0.000 0.000 0.000
Si 3.586 3.586 0.000
Al 2.640 6.226 0.000
Al 6.226 4.532 0.000
Al 4.532 0.946 0.000
Al 0.946 2.640 0.000
```

Output
volume: 264.8 Å³/cell
DOS(E_F): 0.632 states/eV per atom
ΔE_f (raw): -0.094 eV/atom

***

Taking the records one at a time from the top gives E values of -18.05, -33.48 eV/cell.